1.
AlSi2Ir (PBE, relaxed); crystal system = monoclinic; ΔE_f (raw) = -0.81 eV/f.u.; symmetry = C2/m, No. 12
1.0
4.146 -1.570 0.000
4.146 1.570 0.000
-0.402 0.000 4.381
Al Si Ir
1 2 1
Direct
0.000 0.000 0.000
0.242 0.242 0.744
0.758 0.758 0.256
0.500 0.500 0.500



2.
La2Sn5Rh3 (PBE, relaxed); crystal system = orthorhombic; energy of formation = -0.754 eV/atom; symmetry = Cmc2_1, No. 36
1.0
2.288 -13.428 0.000
2.288 13.428 0.000
0.000 0.000 7.347
La Sn Rh
4 10 6
Direct
0.026 0.974 0.500
0.328 0.672 0.540
0.672 0.328 0.040
0.974 0.026 0.000
0.096 0.904 0.880
0.206 0.794 0.338
0.210 0.790 0.755
0.377 0.623 0.007
0.451 0.549 0.665
0.549 0.451 0.165
0.623 0.377 0.507
0.790 0.210 0.255
0.794 0.206 0.838
0.904 0.096 0.380
0.106 0.894 0.255
0.276 0.724 0.048
0.449 0.551 0.284
0.551 0.449 0.784
0.724 0.276 0.548
0.894 0.106 0.755



3.
BeW3Se (PBE, relaxed); crystal system = cubic; ΔE_f (raw) = 6.27 eV/f.u.; symmetry = Pm-3m, No. 221
1.0
4.304 0.000 0.000
0.000 4.304 0.000
0.000 0.000 4.304
Be W Se
1 3 1
Direct
0.000 0.000 0.000
0.000 0.000 0.500
0.000 0.500 0.000
0.500 0.000 0.000
0.500 0.500 0.500



4.
Sr2IrBrN (PBE, relaxed); crystal system = tetragonal; ΔE_f (raw) = -4.88 eV/f.u.; symmetry = P4/mmm, No. 123
1.0
5.522 0.000 0.000
0.000 5.522 0.000
0.000 0.000 3.829
Sr Ir Br N
2 1 1 1
Direct
0.000 0.500 0.000
0.500 0.000 0.000
0.000 0.000 0.500
0.500 0.500 0.500
0.000 0.000 0.000



no.,electronic total energy (eV/cell),N(E_F) (states/eV/cell)
1,-24.26,1.36
2,-118.92,10.45
3,-39.80,4.38
4,-27.10,1.24